This record from Alexandria via LeMat-Bulk describes an optimized crystal structure of TlTeOs2. The functional is GGA-PBE.

Geometry as CIF:
```
data_TlTeOs2
_cell_length_a 2.9695
_cell_length_b 5.2003
_cell_length_c 10.8459
_cell_angle_alpha 90.00
_cell_angle_beta 90.00
_cell_angle_gamma 90.00
_symmetry_space_group_name_H-M 'C m m 2'
_symmetry_Int_Tables_number 35
loop_
_symmetry_equiv_pos_as_xyz
'x,y,z'
'-x,-y,z'
'-x,y,z'
'x,-y,z'
'x+1/2,y+1/2,z'
'-x+1/2,-y+1/2,z'
'-x+1/2,y+1/2,z'
'x+1/2,-y+1/2,z'
loop_
_atom_site_label
_atom_site_fract_x
_atom_site_fract_y
_atom_site_fract_z
_atom_site_occupancy
Tl1 0.0000 0.0000 0.0000 1
Te1 0.0000 0.5000 0.6593 1
Os1 0.0000 0.0000 0.4394 1
Os2 0.0000 0.5000 0.2468 1
```

Results
Relative energy among the computed polymorphs, eV per formula unit: 1.72
Uncorrected formation energy, eV/atom: 0.961
Magnetization, μB/f.u.: 0.000
DFT total energy, eV/atom: -6.0304
Fermi-level density of states, states/eV/cell: 10.06

=====

This record from Alexandria via LeMat-Bulk describes an optimized crystal structure of Tm6TeOs2. The functional is GGA-PBE.

Geometry as CIF:
```
data_Tm6TeOs2
_cell_length_a 9.3239
_cell_length_b 9.4650
_cell_length_c 10.3794
_cell_angle_alpha 90.00
_cell_angle_beta 90.00
_cell_angle_gamma 90.00
_symmetry_space_group_name_H-M 'I m m m'
_symmetry_Int_Tables_number 71
_symmetry_space_group_name_Hall '-I 2 2'
loop_
_atom_site_label
_atom_site_fract_x
_atom_site_fract_y
_atom_site_fract_z
_atom_site_occupancy
Tm1 0.0000 0.2110 0.2409 1
Tm2 0.1843 0.5000 0.1692 1
Tm3 0.2206 0.3181 0.5000 1
Te1 0.0000 0.0000 0.0000 1
Te2 0.0000 0.0000 0.5000 1
Os1 0.0000 0.3346 0.0000 1
Os2 0.0000 0.5000 0.3778 1
```

Results
Uncorrected formation energy, eV/atom: -0.447
Magnetization, μB/f.u.: 0.000
DFT total energy, eV/atom: -6.2722
Fermi-level density of states, states/eV/cell: 29.10

=====

This record from Alexandria via LeMat-Bulk describes an optimized crystal structure of Tm4TeOs. The functional is GGA-PBE.

Geometry as CIF:
```
data_Tm4TeOs
_cell_length_a 7.8698
_cell_length_b 4.0764
_cell_length_c 19.2340
_cell_angle_alpha 90.00
_cell_angle_beta 90.00
_cell_angle_gamma 90.00
_symmetry_space_group_name_H-M 'P n m a'
_symmetry_Int_Tables_number 62
loop_
_symmetry_equiv_pos_as_xyz
'x,y,z'
'-x,-y,-z'
'-x+1/2,-y,z+1/2'
'x+1/2,y,-z+1/2'
'x+1/2,-y+1/2,-z+1/2'
'-x+1/2,y+1/2,z+1/2'
'-x,y+1/2,-z'
'x,-y+1/2,z'
loop_
_atom_site_label
_atom_site_fract_x
_atom_site_fract_y
_atom_site_fract_z
_atom_site_occupancy
Tm1 0.0005 0.2500 0.0666 1
Tm2 0.0598 0.2500 0.7903 1
Tm3 0.1290 0.2500 0.3575 1
Tm4 0.1399 0.2500 0.5421 1
Te1 0.2468 0.2500 0.1954 1
Os1 0.2486 0.7500 0.4463 1
```

Results
Relative energy among the computed polymorphs, eV per formula unit: 0.00
Uncorrected formation energy, eV/atom: -0.637
Magnetization, μB/f.u.: 0.000
DFT total energy, eV/atom: -6.0136
Fermi-level density of states, states/eV/cell: 18.99

=====

This record from Alexandria via LeMat-Bulk describes an optimized crystal structure of Tm3TeOs. The functional is GGA-PBE.

Geometry as CIF:
```
data_Tm3TeOs
_cell_length_a 13.7355
_cell_length_b 4.0175
_cell_length_c 9.7674
_cell_angle_alpha 90.00
_cell_angle_beta 99.21
_cell_angle_gamma 90.00
_symmetry_space_group_name_H-M 'C 1 2/m 1'
_symmetry_Int_Tables_number 12
loop_
_symmetry_equiv_pos_as_xyz
'x,y,z'
'-x,-y,-z'
'-x,y,-z'
'x,-y,z'
'x+1/2,y+1/2,z'
'-x+1/2,-y+1/2,-z'
'-x+1/2,y+1/2,-z'
'x+1/2,-y+1/2,z'
loop_
_atom_site_label
_atom_site_fract_x
_atom_site_fract_y
_atom_site_fract_z
_atom_site_occupancy
Tm1 0.0332 0.0000 0.3580 1
Tm2 0.1365 0.5000 0.8655 1
Tm3 0.2449 0.0000 0.6411 1
Te1 0.1391 0.0000 0.1057 1
Os1 0.1038 0.5000 0.5676 1
```

Results
Uncorrected formation energy, eV/atom: -0.606
Magnetization, μB/f.u.: 0.000
DFT total energy, eV/atom: -6.1631
Fermi-level density of states, states/eV/cell: 15.64

=====

This record from Alexandria via LeMat-Bulk describes an optimized crystal structure of Tm4TeOs. The functional is GGA-PBE.

Geometry as CIF:
```
data_Tm4TeOs
_cell_length_a 17.8921
_cell_length_b 5.2994
_cell_length_c 9.4122
_cell_angle_alpha 90.00
_cell_angle_beta 111.19
_cell_angle_gamma 90.00
_symmetry_space_group_name_H-M 'C 1 2/m 1'
_symmetry_Int_Tables_number 12
loop_
_symmetry_equiv_pos_as_xyz
'x,y,z'
'-x,-y,-z'
'-x,y,-z'
'x,-y,z'
'x+1/2,y+1/2,z'
'-x+1/2,-y+1/2,-z'
'-x+1/2,y+1/2,-z'
'x+1/2,-y+1/2,z'
loop_
_atom_site_label
_atom_site_fract_x
_atom_site_fract_y
_atom_site_fract_z
_atom_site_occupancy
Tm1 0.0196 0.0000 0.2449 1
Tm2 0.1015 0.5000 0.0305 1
Tm3 0.1971 0.0000 0.9027 1
Tm4 0.2347 0.0000 0.2988 1
Te1 0.1636 0.0000 0.5580 1
Os1 0.0935 0.0000 0.0494 1
```

Results
Relative energy among the computed polymorphs, eV per formula unit: 1.89
Uncorrected formation energy, eV/atom: -0.322
Magnetization, μB/f.u.: 0.000
DFT total energy, eV/atom: -5.6986
Fermi-level density of states, states/eV/cell: 16.59

=====

This record from Alexandria via LeMat-Bulk describes an optimized crystal structure of Tm2TeOs. The functional is GGA-PBE.

Geometry as CIF:
```
data_Tm2TeOs
_cell_length_a 3.5124
_cell_length_b 3.5124
_cell_length_c 7.4205
_cell_angle_alpha 90.00
_cell_angle_beta 90.00
_cell_angle_gamma 90.00
_symmetry_space_group_name_H-M 'P 4/m m m'
_symmetry_Int_Tables_number 123
_symmetry_space_group_name_Hall '-P 4 2'
loop_
_atom_site_label
_atom_site_fract_x
_atom_site_fract_y
_atom_site_fract_z
_atom_site_occupancy
Tm1 0.0000 0.0000 0.2185 1
Te1 0.5000 0.5000 0.5000 1
Os1 0.5000 0.5000 0.0000 1
```

Results
Uncorrected formation energy, eV/atom: -0.617
Magnetization, μB/f.u.: 0.000
DFT total energy, eV/atom: -6.4461
Fermi-level density of states, states/eV/cell: 0.91

=====

This record from Alexandria via LeMat-Bulk describes an optimized crystal structure of VTeOs. The functional is GGA-PBE.

Geometry as CIF:
```
data_VTeOs
_cell_length_a 12.4366
_cell_length_b 3.1211
_cell_length_c 5.4104
_cell_angle_alpha 90.00
_cell_angle_beta 90.00
_cell_angle_gamma 90.00
_symmetry_space_group_name_H-M 'A m m 2'
_symmetry_Int_Tables_number 38
loop_
_symmetry_equiv_pos_as_xyz
'x,y,z'
'-x,-y,z'
'-x,y,z'
'x,-y,z'
'x,y+1/2,z+1/2'
'-x,-y+1/2,z+1/2'
'-x,y+1/2,z+1/2'
'x,-y+1/2,z+1/2'
loop_
_atom_site_label
_atom_site_fract_x
_atom_site_fract_y
_atom_site_fract_z
_atom_site_occupancy
V1 0.0000 0.0000 0.0000 1
V2 0.5000 0.0000 0.0013 1
Te1 0.3384 0.0000 0.6686 1
Os1 0.1410 0.0000 0.3326 1
```

Results
Uncorrected formation energy, eV/atom: 0.463
Magnetization, μB/f.u.: 0.000
DFT total energy, eV/atom: -7.3666
Fermi-level density of states, states/eV/cell: 11.77

=====

This record from Alexandria via LeMat-Bulk describes an optimized crystal structure of V2TeOs2. The functional is GGA-PBE.

Geometry as CIF:
```
data_V2TeOs2
_cell_length_a 7.4795
_cell_length_b 7.4795
_cell_length_c 2.9022
_cell_angle_alpha 90.00
_cell_angle_beta 90.00
_cell_angle_gamma 90.00
_symmetry_space_group_name_H-M 'P 4/m b m'
_symmetry_Int_Tables_number 127
_symmetry_space_group_name_Hall '-P 4 2ab'
loop_
_atom_site_label
_atom_site_fract_x
_atom_site_fract_y
_atom_site_fract_z
_atom_site_occupancy
V1 0.1478 0.3522 0.0000 1
Te1 0.0000 0.0000 0.5000 1
Os1 0.1370 0.6370 0.5000 1
```

Results
Uncorrected formation energy, eV/atom: 0.140
Magnetization, μB/f.u.: 0.000
DFT total energy, eV/atom: -8.6280
Fermi-level density of states, states/eV/cell: 6.82

=====

This record from Alexandria via LeMat-Bulk describes an optimized crystal structure of V2TeOs. The functional is GGA-PBE.

Geometry as CIF:
```
data_V2TeOs
_cell_length_a 5.8060
_cell_length_b 5.8060
_cell_length_c 11.7023
_cell_angle_alpha 90.00
_cell_angle_beta 90.00
_cell_angle_gamma 90.00
_symmetry_space_group_name_H-M 'I -4 2 d'
_symmetry_Int_Tables_number 122
_symmetry_space_group_name_Hall 'I -4 2bw'
loop_
_atom_site_label
_atom_site_fract_x
_atom_site_fract_y
_atom_site_fract_z
_atom_site_occupancy
V1 0.2041 0.2500 0.1250 1
Te1 0.0000 0.0000 0.5000 1
Os1 0.0000 0.0000 0.0000 1
```

Results
Uncorrected formation energy, eV/atom: 0.733
Magnetization, μB/f.u.: 3.818
DFT total energy, eV/atom: -7.4188
Fermi-level density of states, states/eV/cell: 9.85

=====

This record from Alexandria via LeMat-Bulk describes an optimized crystal structure of VTeOs2. The functional is GGA-PBE.

Geometry as CIF:
```
data_VTeOs2
_cell_length_a 5.5058
_cell_length_b 5.5058
_cell_length_c 11.9235
_cell_angle_alpha 90.00
_cell_angle_beta 90.00
_cell_angle_gamma 90.00
_symmetry_space_group_name_H-M 'I -4 2 d'
_symmetry_Int_Tables_number 122
_symmetry_space_group_name_Hall 'I -4 2bw'
loop_
_atom_site_label
_atom_site_fract_x
_atom_site_fract_y
_atom_site_fract_z
_atom_site_occupancy
V1 0.0000 0.0000 0.0000 1
Te1 0.0000 0.0000 0.5000 1
Os1 0.2127 0.2500 0.1250 1
```

Results
Uncorrected formation energy, eV/atom: 0.941
Magnetization, μB/f.u.: 0.000
DFT total energy, eV/atom: -7.7387
Fermi-level density of states, states/eV/cell: 7.09

=====

This record from Alexandria via LeMat-Bulk describes an optimized crystal structure of V3TeOs. The functional is GGA-PBE.

Geometry as CIF:
```
data_V3TeOs
_cell_length_a 4.6858
_cell_length_b 4.6858
_cell_length_c 4.6858
_cell_angle_alpha 90.00
_cell_angle_beta 90.00
_cell_angle_gamma 90.00
_symmetry_space_group_name_H-M 'P m -3 m'
_symmetry_Int_Tables_number 221
_symmetry_space_group_name_Hall '-P 4 2 3'
loop_
_atom_site_label
_atom_site_fract_x
_atom_site_fract_y
_atom_site_fract_z
_atom_site_occupancy
V1 0.0000 0.0000 0.5000 1
Te1 0.5000 0.5000 0.5000 1
Os1 0.0000 0.0000 0.0000 1
```

Results
Relative energy among the computed polymorphs, eV per formula unit: 0.00
Uncorrected formation energy, eV/atom: 0.865
Magnetization, μB/f.u.: 3.826
DFT total energy, eV/atom: -7.4804
Fermi-level density of states, states/eV/cell: 7.23

=====

This record from Alexandria via LeMat-Bulk describes an optimized crystal structure of VTe3Os. The functional is GGA-PBE.

Geometry as CIF:
```
data_VTe3Os
_cell_length_a 5.2331
_cell_length_b 5.2331
_cell_length_c 5.2331
_cell_angle_alpha 90.00
_cell_angle_beta 90.00
_cell_angle_gamma 90.00
_symmetry_space_group_name_H-M 'P m -3 m'
_symmetry_Int_Tables_number 221
_symmetry_space_group_name_Hall '-P 4 2 3'
loop_
_atom_site_label
_atom_site_fract_x
_atom_site_fract_y
_atom_site_fract_z
_atom_site_occupancy
V1 0.0000 0.0000 0.0000 1
Te1 0.0000 0.5000 0.5000 1
Os1 0.5000 0.5000 0.5000 1
```

Results
Relative energy among the computed polymorphs, eV per formula unit: 0.00
Uncorrected formation energy, eV/atom: 1.039
Magnetization, μB/f.u.: 2.098
DFT total energy, eV/atom: -4.9152
Fermi-level density of states, states/eV/cell: 6.57